Entry 1:
## Li2Sc2SiPd2Pb (PBE)

Data for an optimized crystal structure of Li2Sc2SiPd2Pb.

Results
- Crystal system: tetragonal

a = 4.5033 Å, b = 4.5033 Å, c = 6.5159 Å
α = 90.00°, β = 90.00°, γ = 90.00°
Closest atoms and distances in Å follow each position.
Positions (direct):
Li: 0.0000 0.5000 0.2262  4 Sc 2.69-2.87, 2 Si 2.69, 2 Pb 2.87, 1 Pd 2.91
Li: 0.5000 0.0000 0.7738  4 Sc 2.69-2.87, 2 Si 2.69, 2 Pb 2.87, 1 Pd 2.91
Sc: 0.0000 0.0000 0.0000  4 Pd 2.67, 4 Li 2.69
Sc: 0.5000 0.5000 0.5000  4 Li 2.87, 4 Pd 2.89, 4 Pb 3.18
Si: 0.5000 0.5000 0.0000  4 Pd 2.67, 4 Li 2.69
Pd: 0.0000 0.5000 0.7789  4 Sc 2.67-2.89, 2 Si 2.67, 2 Pb 2.89, 1 Li 2.91
Pd: 0.5000 0.0000 0.2211  4 Sc 2.67-2.89, 2 Si 2.67, 2 Pb 2.89, 1 Li 2.91
Pb: 0.0000 0.0000 0.5000  4 Li 2.87, 4 Pd 2.89, 4 Sc 3.18


Entry 2:
## Li2YScPd2Pb2 (PBE)

Data for an optimized crystal structure of Li2YScPd2Pb2.

Results
- Crystal system: tetragonal

a = 4.7598 Å, b = 4.7598 Å, c = 6.7538 Å
α = 90.00°, β = 90.00°, γ = 90.00°
Closest atoms and distances in Å follow each position.
Positions (direct):
Li: 0.0000 0.5000 0.2349  2 Sc 2.86, 4 Pb 2.86-2.98, 2 Y 2.98, 1 Pd 3.19
Li: 0.5000 0.0000 0.7651  2 Sc 2.86, 4 Pb 2.86-2.98, 2 Y 2.98, 1 Pd 3.19
Y: 0.0000 0.0000 0.5000  4 Pd 2.97, 4 Li 2.98
Sc: 0.5000 0.5000 0.0000  4 Li 2.86, 4 Pd 2.87
Pd: 0.0000 0.5000 0.7621  2 Sc 2.87, 4 Pb 2.87-2.97, 2 Y 2.97, 1 Li 3.19
Pd: 0.5000 0.0000 0.2379  2 Sc 2.87, 4 Pb 2.87-2.97, 2 Y 2.97, 1 Li 3.19
Pb: 0.0000 0.0000 0.0000  4 Li 2.86, 4 Pd 2.87
Pb: 0.5000 0.5000 0.5000  4 Pd 2.97, 4 Li 2.98


Listing VASP energy for the structures above in their given order: -5.1613; -4.9210 eV/atom.